(1)
Crystalline Pm2Nd3Ho2 at its relaxed geometry, computed with PBE-GGA.

## Properties
crystal system	monoclinic
E above lowest polymorph	0	meV/atom

Geometry as POSCAR:
```
Pm2Nd3Ho2
1.0
6.0075 -1.8151 0.0000
6.0075 1.8151 0.0000
-1.1160 0.0000 10.8210
Pm Nd Ho
2 3 2
direct
0.2160 0.2160 0.3566
0.7840 0.7840 0.6434
0.3583 0.3583 0.9292
0.5000 0.5000 0.5000
0.6417 0.6417 0.0708
0.0711 0.0711 0.7860
0.9289 0.9289 0.2140
```

=====

(2)
Crystalline Pm2Nd12Ho5 at its relaxed geometry, computed with PBE-GGA.

## Properties
crystal system	monoclinic
E above lowest polymorph	0	meV/atom

Geometry as POSCAR:
```
Pm2Nd12Ho5
1.0
9.0316 -5.8843 0.0000
9.0316 5.8843 0.0000
-1.3569 0.0000 6.1046
Pm Nd Ho
2 12 5
direct
0.2273 0.7727 0.0000
0.7727 0.2273 0.0000
0.0610 0.5429 0.8001
0.1222 0.1222 0.9984
0.1451 0.6468 0.3848
0.3532 0.8549 0.6152
0.4435 0.4435 0.7264
0.4571 0.9390 0.1999
0.5429 0.0610 0.8001
0.5565 0.5565 0.2736
0.6468 0.1451 0.3848
0.8549 0.3532 0.6152
0.8778 0.8778 0.0016
0.9390 0.4571 0.1999
0.0000 0.0000 0.5000
0.2145 0.2145 0.5498
0.3222 0.3222 0.1420
0.6778 0.6778 0.8580
0.7855 0.7855 0.4502
```

=====

(3)
Crystalline Pm4Nd2Ho5 at its relaxed geometry, computed with PBE-GGA.

## Properties
crystal system	monoclinic
E above lowest polymorph	25	meV/atom

Geometry as POSCAR:
```
Pm4Nd2Ho5
1.0
12.0436 -1.7387 0.0000
12.0436 1.7387 0.0000
-1.0158 0.0000 8.7528
Pm Nd Ho
4 2 5
direct
0.0459 0.0459 0.3580
0.3210 0.3210 0.5291
0.6790 0.6790 0.4709
0.9541 0.9541 0.6420
0.0903 0.0903 0.7409
0.9097 0.9097 0.2591
0.1421 0.1421 0.1169
0.2327 0.2327 0.8288
0.5000 0.5000 0.0000
0.7673 0.7673 0.1712
0.8579 0.8579 0.8831
```

=====

(4)
Crystalline Pm2NdHo3 at its relaxed geometry, computed with PBE-GGA.

## Properties
crystal system	monoclinic
E above lowest polymorph	0	meV/atom

Geometry as POSCAR:
```
Pm2NdHo3
1.0
11.6612 -1.7572 0.0000
11.6612 1.7572 0.0000
-3.2797 0.0000 9.7989
Pm Nd Ho
4 2 6
direct
0.0671 0.0671 0.1392
0.3090 0.3090 0.6276
0.6910 0.6910 0.3724
0.9329 0.9329 0.8608
0.3134 0.3134 0.9629
0.6866 0.6866 0.0371
0.0686 0.0686 0.7604
0.3053 0.3053 0.2852
0.4412 0.4412 0.5542
0.5588 0.5588 0.4458
0.6947 0.6947 0.7148
0.9314 0.9314 0.2396
```

=====

(5)
Crystalline Pm4NdHo7 at its relaxed geometry, computed with PBE-GGA.

## Properties
crystal system	triclinic
E above lowest polymorph	0	meV/atom

Geometry as POSCAR:
```
Pm4NdHo7
1.0
6.5818 0.0000 0.0000
1.0289 6.7853 0.0000
2.0222 0.5444 8.8149
Pm Nd Ho
4 1 7
direct
0.1387 0.3039 0.2872
0.3350 0.8877 0.6889
0.6650 0.1123 0.3111
0.8613 0.6961 0.7128
0.5000 0.5000 0.0000
0.0139 0.2502 0.9508
0.1814 0.7969 0.3565
0.3115 0.3957 0.6161
0.5000 0.0000 0.0000
0.6885 0.6043 0.3839
0.8186 0.2031 0.6435
0.9861 0.7498 0.0492
```

=====

(6)
Crystalline PmNd6Ho12 at its relaxed geometry, computed with PBE-GGA.

## Properties
crystal system	trigonal
E above lowest polymorph	0	meV/atom

Geometry as POSCAR:
```
PmNd6Ho12
1.0
5.5539 3.2065 5.8354
-5.5539 3.2065 5.8354
0.0000 -6.4131 5.8354
Pm Nd Ho
1 6 12
direct
0.0000 0.0000 0.0000
0.1643 0.7690 0.7690
0.2310 0.2310 0.8357
0.2310 0.8357 0.2310
0.7690 0.1643 0.7690
0.7690 0.7690 0.1643
0.8357 0.2310 0.2310
0.1376 0.1376 0.4828
0.1376 0.4828 0.1376
0.1964 0.5151 0.5151
0.4828 0.1376 0.1376
0.4849 0.4849 0.8036
0.4849 0.8036 0.4849
0.5151 0.1964 0.5151
0.5151 0.5151 0.1964
0.5172 0.8624 0.8624
0.8036 0.4849 0.4849
0.8624 0.5172 0.8624
0.8624 0.8624 0.5172
```

=====

(7)
Crystalline Pm6Nd3Ho2 at its relaxed geometry, computed with PBE-GGA.

## Properties
crystal system	tetragonal
E above lowest polymorph	257	meV/atom

Geometry as POSCAR:
```
Pm6Nd3Ho2
1.0
-2.4163 2.4163 16.8355
2.4163 -2.4163 16.8355
2.4163 2.4163 -16.8355
Pm Nd Ho
6 3 2
direct
0.1193 0.6193 0.5000
0.1966 0.1966 0.0000
0.3807 0.8807 0.5000
0.6193 0.1193 0.5000
0.8034 0.8034 0.0000
0.8807 0.3807 0.5000
0.2991 0.2991 0.0000
0.5000 0.5000 0.0000
0.7009 0.7009 0.0000
0.0455 0.0455 0.0000
0.9545 0.9545 0.0000
```

=====

(8)
Crystalline Pm12Nd5Ho2 at its relaxed geometry, computed with PBE-GGA.

## Properties
crystal system	monoclinic
E above lowest polymorph	0	meV/atom

Geometry as POSCAR:
```
Pm12Nd5Ho2
1.0
9.0407 -5.9178 0.0000
9.0407 5.9178 0.0000
-1.3983 0.0000 6.1162
Pm Nd Ho
12 5 2
direct
0.0486 0.5580 0.8009
0.0529 0.0529 0.2736
0.1437 0.6511 0.3820
0.3489 0.8563 0.6180
0.3803 0.3803 0.0028
0.4420 0.9514 0.1991
0.5580 0.0486 0.8009
0.6197 0.6197 0.9972
0.6511 0.1437 0.3820
0.8563 0.3489 0.6180
0.9471 0.9471 0.7264
0.9514 0.4420 0.1991
0.1759 0.1759 0.8579
0.2851 0.2851 0.4467
0.5000 0.5000 0.5000
0.7149 0.7149 0.5533
0.8241 0.8241 0.1421
0.2706 0.7294 0.0000
0.7294 0.2706 0.0000
```

=====

(9)
Crystalline PmNd9Ho2 at its relaxed geometry, computed with PBE-GGA.

## Properties
crystal system	tetragonal

Geometry as POSCAR:
```
PmNd9Ho2
1.0
5.1633 0.0000 0.0000
0.0000 5.1633 0.0000
0.0000 0.0000 15.4913
Pm Nd Ho
1 9 2
direct
0.0000 0.0000 0.0000
0.0000 0.5000 0.1683
0.0000 0.5000 0.5000
0.0000 0.5000 0.8317
0.5000 0.0000 0.1683
0.5000 0.0000 0.5000
0.5000 0.0000 0.8317
0.5000 0.5000 0.0000
0.5000 0.5000 0.3348
0.5000 0.5000 0.6652
0.0000 0.0000 0.3343
0.0000 0.0000 0.6657
```

=====

(10)
Crystalline Pm6NdHo4 at its relaxed geometry, computed with PBE-GGA.

## Properties
crystal system	tetragonal
E above lowest polymorph	254	meV/atom

Geometry as POSCAR:
```
Pm6NdHo4
1.0
-3.7821 3.7821 6.7892
3.7821 -3.7821 6.7892
3.7821 3.7821 -6.7892
Pm Nd Ho
6 1 4
direct
0.0000 0.5000 0.5000
0.0424 0.5826 0.0000
0.4174 0.4174 0.4597
0.5000 0.0000 0.5000
0.5826 0.0424 0.0000
0.9576 0.9576 0.5403
0.0000 0.0000 0.0000
0.2568 0.2568 0.6744
0.4176 0.7432 0.0000
0.5824 0.5824 0.3256
0.7432 0.4176 0.0000
```

=====

(11)
Crystalline Pm4NdHo at its relaxed geometry, computed with PBE-GGA.

## Properties
crystal system	cubic
E above lowest polymorph	262	meV/atom

Geometry as POSCAR:
```
Pm4NdHo
1.0
0.0000 4.7255 4.7255
4.7255 0.0000 4.7255
4.7255 4.7255 0.0000
Pm Nd Ho
4 1 1
direct
0.3756 0.3756 0.3756
0.3756 0.3756 0.8730
0.3756 0.8730 0.3756
0.8730 0.3756 0.3756
0.0000 0.0000 0.0000
0.7500 0.7500 0.7500
```

=====

(12)
Crystalline Pm7Nd2Ho4 at its relaxed geometry, computed with PBE-GGA.

## Properties
crystal system	triclinic

Geometry as POSCAR:
```
Pm7Nd2Ho4
1.0
6.3439 0.0000 0.0000
2.7946 5.8655 0.0000
2.2592 -0.7201 11.9007
Pm Nd Ho
7 2 4
direct
0.0000 0.0000 0.0000
0.0576 0.5260 0.8058
0.3226 0.6435 0.3020
0.4818 0.9336 0.7553
0.5182 0.0664 0.2447
0.6774 0.3565 0.6980
0.9424 0.4740 0.1942
0.4112 0.2962 0.9846
0.5888 0.7038 0.0154
0.1419 0.8342 0.5948
0.2701 0.2844 0.5239
0.7299 0.7156 0.4761
0.8581 0.1658 0.4052
```

=====

(13)
Crystalline PmNd12Ho6 at its relaxed geometry, computed with PBE-GGA.

## Properties
crystal system	cubic
E above lowest polymorph	28	meV/atom

Geometry as POSCAR:
```
PmNd12Ho6
1.0
-5.4643 5.4643 5.4643
5.4643 -5.4643 5.4643
5.4643 5.4643 -5.4643
Pm Nd Ho
1 12 6
direct
0.0000 0.0000 0.0000
0.0669 0.2641 0.8028
0.1972 0.4612 0.2641
0.1972 0.9331 0.7359
0.2641 0.1972 0.4612
0.2641 0.8028 0.0669
0.4612 0.2641 0.1972
0.5388 0.7359 0.8028
0.7359 0.1972 0.9331
0.7359 0.8028 0.5388
0.8028 0.0669 0.2641
0.8028 0.5388 0.7359
0.9331 0.7359 0.1972
0.1425 0.5000 0.6425
0.3575 0.8575 0.5000
0.5000 0.3575 0.8575
0.5000 0.6425 0.1425
0.6425 0.1425 0.5000
0.8575 0.5000 0.3575
```

=====

(14)
Crystalline Pm3Nd5Ho at its relaxed geometry, computed with PBE-GGA.

## Properties
crystal system	monoclinic

Geometry as POSCAR:
```
Pm3Nd5Ho
1.0
5.7774 -5.7516 0.0000
5.7774 5.7516 0.0000
-5.1020 0.0000 10.6180
Pm Nd Ho
6 10 2
direct
0.0000 0.0000 0.0000
0.0000 0.0000 0.5000
0.2084 0.2084 0.3484
0.3796 0.3796 0.8431
0.6204 0.6204 0.1569
0.7916 0.7916 0.6516
0.0338 0.5647 0.3518
0.2547 0.7453 0.0000
0.3054 0.3054 0.0946
0.4353 0.9662 0.6482
0.4705 0.4705 0.6189
0.5295 0.5295 0.3811
0.5647 0.0338 0.3518
0.6946 0.6946 0.9054
0.7453 0.2547 0.0000
0.9662 0.4353 0.6482
0.0910 0.0910 0.7949
0.9090 0.9090 0.2051
```

=====

(15)
Crystalline Pm5NdHo4 at its relaxed geometry, computed with PBE-GGA.

## Properties
crystal system	monoclinic
E above lowest polymorph	0	meV/atom

Geometry as POSCAR:
```
Pm5NdHo4
1.0
8.5943 -1.7792 0.0000
8.5943 1.7792 0.0000
-3.7545 0.0000 10.8619
Pm Nd Ho
5 1 4
direct
0.0000 0.0000 0.0000
0.2893 0.2893 0.8848
0.3102 0.3102 0.4211
0.6898 0.6898 0.5789
0.7107 0.7107 0.1152
0.0000 0.0000 0.5000
0.1050 0.1050 0.2966
0.4170 0.4170 0.2080
0.5830 0.5830 0.7920
0.8950 0.8950 0.7034
```

=====

(16)
Crystalline Pm7Nd3Ho at its relaxed geometry, computed with PBE-GGA.

## Properties
crystal system	orthorhombic
E above lowest polymorph	6	meV/atom

Geometry as POSCAR:
```
Pm7Nd3Ho
1.0
-2.9848 5.6897 5.7104
2.9848 -5.6897 5.7104
2.9848 5.6897 -5.7104
Pm Nd Ho
7 3 1
direct
0.0000 0.0000 0.0000
0.0973 0.3020 0.7953
0.2911 0.7911 0.5000
0.4932 0.6980 0.7953
0.5068 0.3020 0.2047
0.7089 0.2089 0.5000
0.9027 0.6980 0.2047
0.2902 0.0000 0.2902
0.5000 0.5000 0.0000
0.7098 0.0000 0.7098
0.0000 0.5000 0.5000
```

=====

(17)
Crystalline PmNd4Ho5 at its relaxed geometry, computed with PBE-GGA.

## Properties
crystal system	tetragonal
E above lowest polymorph	0	meV/atom

Geometry as POSCAR:
```
PmNd4Ho5
1.0
3.6148 0.0000 0.0000
0.0000 3.6148 0.0000
0.0000 0.0000 25.2167
Pm Nd Ho
1 4 5
direct
0.0000 0.0000 0.0000
0.0000 0.0000 0.1996
0.0000 0.0000 0.3998
0.0000 0.0000 0.6002
0.0000 0.0000 0.8004
0.5000 0.5000 0.0994
0.5000 0.5000 0.2997
0.5000 0.5000 0.5000
0.5000 0.5000 0.7003
0.5000 0.5000 0.9006
```

=====

(18)
Crystalline Pm2Nd3Ho6 at its relaxed geometry, computed with PBE-GGA.

## Properties
crystal system	tetragonal
E above lowest polymorph	70	meV/atom

Geometry as POSCAR:
```
Pm2Nd3Ho6
1.0
-2.3885 2.3885 16.6029
2.3885 -2.3885 16.6029
2.3885 2.3885 -16.6029
Pm Nd Ho
2 3 6
direct
0.0462 0.0462 0.0000
0.9538 0.9538 0.0000
0.2962 0.2962 0.0000
0.5000 0.5000 0.0000
0.7038 0.7038 0.0000
0.1206 0.6206 0.5000
0.1925 0.1925 0.0000
0.3794 0.8794 0.5000
0.6206 0.1206 0.5000
0.8075 0.8075 0.0000
0.8794 0.3794 0.5000
```

=====

(19)
Crystalline Pm6NdHo2 at its relaxed geometry, computed with PBE-GGA.

## Properties
crystal system	monoclinic
E above lowest polymorph	191	meV/atom

Geometry as POSCAR:
```
Pm6NdHo2
1.0
6.5665 -3.7906 0.0000
6.5665 3.7906 0.0000
-0.0013 0.0000 6.1711
Pm Nd Ho
6 1 2
direct
0.1231 0.6877 0.7894
0.3118 0.3118 0.2118
0.3123 0.8769 0.2106
0.6877 0.1231 0.7894
0.6882 0.6882 0.7882
0.8769 0.3123 0.2106
0.5000 0.5000 0.5000
0.1658 0.1658 0.7183
0.8342 0.8342 0.2818
```

=====

(20)
Crystalline PmNd12Ho6 at its relaxed geometry, computed with PBE-GGA.

## Properties
crystal system	trigonal
E above lowest polymorph	0	meV/atom

Geometry as POSCAR:
```
PmNd12Ho6
1.0
6.7492 3.8966 4.2231
-6.7492 3.8966 4.2231
0.0000 -7.7933 4.2231
Pm Nd Ho
1 12 6
direct
0.0000 0.0000 0.0000
0.0822 0.3533 0.3533
0.2415 0.5000 0.7585
0.2415 0.7585 0.5000
0.3533 0.0822 0.3533
0.3533 0.3533 0.0822
0.5000 0.2415 0.7585
0.5000 0.7585 0.2415
0.6467 0.6467 0.9178
0.6467 0.9178 0.6467
0.7585 0.2415 0.5000
0.7585 0.5000 0.2415
0.9178 0.6467 0.6467
0.0982 0.0982 0.6633
0.0982 0.6633 0.0982
0.3367 0.9018 0.9018
0.6633 0.0982 0.0982
0.9018 0.3367 0.9018
0.9018 0.9018 0.3367
```

=====

Computed values of final energy (unit: eV/atom) for the preceding records, in sequence: -4.696 -4.619 -4.530 -4.546 -4.566 -4.530 -4.452 -4.640 -4.719 -4.321 -4.467 -4.568 -4.487 -4.191 -4.647 -4.504 -4.654 -4.401 -4.507 -4.516.